[1]
Entry from Alexandria via LeMat-Bulk: crystalline Li4Ag3Hg2 at its relaxed geometry (PBE-GGA).

Computed properties:
The space group is No. 12. The value obtained for the energy above the lowest structure with this stoichiometry is 0 meV/atom. Its energy of formation is -249 meV per atom. Its volume is 154.8 Å³/cell. The spin magnetization comes out at 0.000 Bohr magnetons per cell. Its crystal system is monoclinic.

Lattice parameters (Å, degrees): 4.5474 4.5624 8.6061 89.76 90.01 60.10
Last column: nearest neighbours and their distance in Å.
Fractional coordinates of all 9 atoms:
Li (0.6664, 0.6669, 0.8931)  4 Ag 2.79-2.82, 4 Hg 2.79-2.80
Li (0.0004, 0.9996, 0.3329)  4 Ag 2.77-2.87, 3 Hg 2.81, 1 Li 2.88
Li (0.9996, 0.0004, 0.6671)  4 Ag 2.77-2.87, 3 Hg 2.81, 1 Li 2.88
Li (0.3336, 0.3331, 0.1069)  4 Ag 2.79-2.82, 4 Hg 2.79-2.80
Ag (0.3335, 0.3331, 0.4348)  4 Li 2.77-2.82, 3 Ag 2.86, 1 Hg 2.99
Ag (0.0000, 0.0000, 0.0000)  8 Li 2.79-2.87
Ag (0.6665, 0.6669, 0.5652)  4 Li 2.77-2.82, 3 Ag 2.86, 1 Hg 2.99
Hg (0.3329, 0.3338, 0.7827)  7 Li 2.79-2.81, 1 Ag 2.99
Hg (0.6671, 0.6662, 0.2173)  7 Li 2.79-2.81, 1 Ag 2.99

=====

[2]
Entry from Alexandria via LeMat-Bulk: crystalline Li2Ag2Hg at its relaxed geometry (PBE-GGA).

Computed properties:
The space group is No. 15. The value obtained for the energy above the lowest structure with this stoichiometry is 0 meV/atom. Its energy of formation is -247 meV per atom. Its volume is 175.4 Å³/cell. The spin magnetization comes out at 0.000 Bohr magnetons per cell. Its crystal system is monoclinic.

Lattice parameters (Å, degrees): 4.9723 9.1562 12.3383 19.24 78.38 74.24
Last column: nearest neighbours and their distance in Å.
Fractional coordinates of all 10 atoms:
Li (0.4169, 0.8164, 0.9669)  5 Ag 2.77-2.90, 4 Hg 2.86-3.05, 2 Li 3.05
Li (0.7998, 0.3164, 0.4669)  5 Ag 2.77-2.90, 4 Hg 2.86-3.05, 2 Li 3.05
Li (0.5831, 0.1836, 0.0331)  5 Ag 2.77-2.90, 4 Hg 2.86-3.05, 2 Li 3.05
Li (0.2002, 0.6836, 0.5331)  5 Ag 2.77-2.90, 4 Hg 2.86-3.05, 2 Li 3.05
Ag (0.3767, 0.9504, 0.6498)  5 Li 2.77-2.90, 6 Ag 2.90-2.96, 1 Hg 2.96
Ag (0.9769, 0.5496, 0.8502)  5 Li 2.77-2.90, 6 Ag 2.90-2.96, 1 Hg 2.96
Ag (0.6233, 0.0496, 0.3502)  5 Li 2.77-2.90, 6 Ag 2.90-2.96, 1 Hg 2.96
Ag (0.0231, 0.4504, 0.1498)  5 Li 2.77-2.90, 6 Ag 2.90-2.96, 1 Hg 2.96
Hg (0.2144, 0.7500, 0.2500)  8 Li 2.86-3.05, 2 Ag 2.96, 2 Hg 3.20
Hg (0.7856, 0.2500, 0.7500)  8 Li 2.86-3.05, 2 Ag 2.96, 2 Hg 3.20

=====

Look up the energy above the lowest structure with this stoichiometry of the first one.
0 meV/atom